Record 1
Entry from OQMD: K2LiZrF6 after structural relaxation (PBE-GGA).

Its electronic total energy is -54.1 eV/f.u. Its energy relative to the lowest polymorph listed for this composition is 0 meV per atom. The calculation puts the magnetic moment at 1.0 μB per formula unit.

The structure belongs to space group P2_1/c (No. 14); the cell edges are 5.9190, 5.5840 and 10.0607 Å and the angles 90.00°, 125.73° and 90.00°. The inequivalent atoms are K at (0.2459, 0.0183, 0.2482), Li at (0.0000, 0.0000, 0.5000), Zr at (0.5000, 0.0000, 0.0000), F at (0.2014, 0.5334, 0.2444), F at (0.2193, 0.7252, 0.5045) and F at (0.2951, 0.2292, 0.5380).

***

Record 2
Entry from OQMD: LaCoSbAu after structural relaxation (PBE-GGA).

Its electronic total energy is -20.2 eV/f.u. Its energy relative to the lowest polymorph listed for this composition is 60 meV per atom. The calculation puts the magnetic moment at 1.7 μB per formula unit.

The structure belongs to space group F-43m (No. 216); the cell edges are 7.1308, 7.1308 and 7.1308 Å and the angles 90.00°, 90.00° and 90.00°. The inequivalent atoms are La at (0.0000, 0.0000, 0.0000), Co at (0.0000, 0.0000, 0.5000), Sb at (0.2500, 0.2500, 0.2500) and Au at (0.2500, 0.2500, 0.7500).

***

Record 3
Entry from OQMD: Sr2Ga3Au6 after structural relaxation (PBE-GGA).

Its electronic total energy is -38.3 eV/f.u.

The structure belongs to space group R-3c (No. 167, hexagonal axes); the cell edges are 8.5632, 8.5632 and 22.3145 Å and the angles 90.00°, 90.00° and 120.00°. The inequivalent atoms are Sr at (0.0000, 0.0000, 0.0897), Ga at (0.0000, 0.1958, 0.2500) and Au at (0.0166, 0.3731, 0.3486).

***

Q: Among the records above, which one has the lowest electronic total energy?
A: K2LiZrF6

***

Q: Among the records above, which one has the lowest electronic total energy?
A: K2LiZrF6

***

Copy entry 3 word for word.
Entry from OQMD: Sr2Ga3Au6 after structural relaxation (PBE-GGA).

Its electronic total energy is -38.3 eV/f.u.

The structure belongs to space group R-3c (No. 167, hexagonal axes); the cell edges are 8.5632, 8.5632 and 22.3145 Å and the angles 90.00°, 90.00° and 120.00°. The inequivalent atoms are Sr at (0.0000, 0.0000, 0.0897), Ga at (0.0000, 0.1958, 0.2500) and Au at (0.0166, 0.3731, 0.3486).

***

What did the first record say?
Entry from OQMD: K2LiZrF6 after structural relaxation (PBE-GGA).

Its electronic total energy is -54.1 eV/f.u. Its energy relative to the lowest polymorph listed for this composition is 0 meV per atom. The calculation puts the magnetic moment at 1.0 μB per formula unit.

The structure belongs to space group P2_1/c (No. 14); the cell edges are 5.9190, 5.5840 and 10.0607 Å and the angles 90.00°, 125.73° and 90.00°. The inequivalent atoms are K at (0.2459, 0.0183, 0.2482), Li at (0.0000, 0.0000, 0.5000), Zr at (0.5000, 0.0000, 0.0000), F at (0.2014, 0.5334, 0.2444), F at (0.2193, 0.7252, 0.5045) and F at (0.2951, 0.2292, 0.5380).